# 1
## SmTiNbBi2O9 (GGA-PBEsol)

Data for a geometry-optimized SmTiNbBi2O9 structure.

CIF file:
```
data_SmTiNbBi2O9
_chemical_formula_sum 'Sm2 Ti2 Nb2 Bi4 O18'
_symmetry_space_group_name_H-M 'P 1 21 1'
_symmetry_Int_Tables_number 4
_cell_length_a 5.3868
_cell_length_b 5.4247
_cell_length_c 12.7643
_cell_angle_alpha 90.00
_cell_angle_beta 101.74
_cell_angle_gamma 90.00
loop_
_symmetry_equiv_pos_as_xyz
'x,y,z'
'-x,y+1/2,-z'
loop_
_atom_site_label
_atom_site_type_symbol
_atom_site_fract_x
_atom_site_fract_y
_atom_site_fract_z
_atom_site_occupancy
Sm1 Sm 0.2423 0.0000 0.0000 1
Ti1 Ti 0.3338 0.5359 0.1699 1
Nb1 Nb 0.1763 0.5393 0.8297 1
Bi1 Bi 0.0261 0.9735 0.6023 1
Bi2 Bi 0.4283 0.9645 0.3966 1
O1 O 0.0215 0.5390 0.6842 1
O2 O 0.0226 0.7702 0.1208 1
O3 O 0.0971 0.2729 0.1215 1
O4 O 0.2441 0.7364 0.5019 1
O5 O 0.2581 0.2369 0.5018 1
O6 O 0.3279 0.5499 0.3097 1
O7 O 0.3346 0.5740 0.9998 1
O8 O 0.3580 0.8641 0.8275 1
O9 O 0.4806 0.3588 0.8279 1
```

Properties
* ΔE_f (raw): -2.452 eV/atom
* E: -8.170 eV/atom
* total magnetic moment: 0.0 μB per formula unit

***

# 2
## ZnCd2Ag (GGA-PBEsol)

Data for a geometry-optimized ZnCd2Ag structure.

CIF file:
```
data_ZnCd2Ag
_chemical_formula_sum 'Zn3 Cd6 Ag3'
_symmetry_space_group_name_H-M 'R -3 m'
_symmetry_Int_Tables_number 166
_symmetry_space_group_name_Hall '-R 3 2"'
_cell_length_a 2.9951
_cell_length_b 2.9951
_cell_length_c 27.5953
_cell_angle_alpha 90.00
_cell_angle_beta 90.00
_cell_angle_gamma 120.00
loop_
_atom_site_label
_atom_site_type_symbol
_atom_site_fract_x
_atom_site_fract_y
_atom_site_fract_z
_atom_site_occupancy
Zn1 Zn 0.0000 0.0000 0.0000 1
Cd1 Cd 0.0000 0.0000 0.2516 1
Ag1 Ag 0.0000 0.0000 0.5000 1
```

Properties
* E: -1.791 eV/atom
* E_form: 0.03 eV/atom
* total magnetic moment: 0.0 μB per formula unit

***

# 3
## BaCu2Ru (GGA-PBEsol)

Data for a geometry-optimized BaCu2Ru structure.

CIF file:
```
data_BaCu2Ru
_chemical_formula_sum 'Ba2 Cu4 Ru2'
_symmetry_space_group_name_H-M 'I m m 2'
_symmetry_Int_Tables_number 44
_cell_length_a 3.0903
_cell_length_b 5.0059
_cell_length_c 9.3417
_cell_angle_alpha 90.00
_cell_angle_beta 90.00
_cell_angle_gamma 90.00
loop_
_symmetry_equiv_pos_as_xyz
'x,y,z'
'-x,-y,z'
'-x,y,z'
'x,-y,z'
'x+1/2,y+1/2,z+1/2'
'-x+1/2,-y+1/2,z+1/2'
'-x+1/2,y+1/2,z+1/2'
'x+1/2,-y+1/2,z+1/2'
loop_
_atom_site_label
_atom_site_type_symbol
_atom_site_fract_x
_atom_site_fract_y
_atom_site_fract_z
_atom_site_occupancy
Ba1 Ba 0.0000 0.0000 0.0000 1
Cu1 Cu 0.0000 0.0000 0.4901 1
Cu2 Cu 0.0000 0.5000 0.7829 1
Ru1 Ru 0.0000 0.5000 0.2128 1
```

Properties
* E: -4.494 eV/atom
* E_form: 0.75 eV/atom
* total magnetic moment: 0.9 μB per formula unit